VASP calculation (GGA-PBE) on a geometry-optimized LiHoThPd structure.

Computed properties:
ΔH_f (0 K) = -0.26 eV per atom
DOS at the Fermi energy = 18.85 states/eV/cell

a = 7.2051 Å, b = 7.2051 Å, c = 7.2051 Å
α = 90.00°, β = 90.00°, γ = 90.00°
Last column: nearest neighbours and their distance in Å.
Space group F-43m (No. 216)
Asymmetric unit:
Li1 0.0000 0.0000 0.0000 [4 per cell]  4 Th 3.12, 4 Ho 3.12
Ho1 0.2500 0.2500 0.2500 [4 per cell]  4 Li 3.12, 4 Pd 3.12
Th1 0.2500 0.2500 0.7500 [4 per cell]  4 Li 3.12, 4 Pd 3.12
Pd1 0.0000 0.0000 0.5000 [4 per cell]  4 Th 3.12, 4 Ho 3.12